# 1
First-principles (PBE) data for La2TbPm2Sm2 after structural relaxation, as listed in Alexandria via LeMat-Bulk.

Results
The space group is C2/m (12).

abc: 5.188 6.346 8.182
angles: 97.45 90.00 114.13
Element x y z (fractional)
1 Sm 0.570 0.141 0.717
2 Sm 0.430 0.859 0.283
3 La 0.143 0.285 0.426
4 La 0.857 0.715 0.574
5 Pm 0.285 0.569 0.860
6 Pm 0.715 0.431 0.140
7 Tb 0.000 0.000 0.000


# 2
First-principles (PBE) data for KTlHgPb after structural relaxation, as listed in Alexandria via LeMat-Bulk.

Results
The space group is F-43m (216).

abc: 5.594 5.594 5.594
angles: 60.00 60.00 60.00
Element x y z (fractional)
1 Tl 0.250 0.250 0.250
2 Pb 0.500 0.500 0.500
3 K 0.000 0.000 0.000
4 Hg 0.750 0.750 0.750


# 3
First-principles (PBE) data for TaTi2Ir3 after structural relaxation, as listed in Alexandria via LeMat-Bulk.

Results
The space group is P4/mmm (123).

abc: 2.935 2.935 10.742
angles: 90.00 90.00 90.00
Element x y z (fractional)
1 Ta 0.500 0.500 0.500
2 Ir 0.000 0.000 0.318
3 Ir 0.000 0.000 0.682
4 Ir 0.000 0.000 0.000
5 Ti 0.500 0.500 0.162
6 Ti 0.500 0.500 0.838


Energy relative to the elements across the listed records, respectively: 15; -42; -437 kJ/mol of formula units.